Entry 1:
Density functional theory data (GGA-PBE) for SiOsRu after structural relaxation.

Cell and atoms, written as POSCAR:
```
SiOsRu
1.0
-0.2981 -2.4855 -1.1876
2.3227 1.4568 -0.3998
2.5038 -2.6452 4.9078
Si Os Ru
1 1 1
Direct
0.3333 0.6667 0.6637
0.0000 0.0000 0.9878
0.6667 0.3333 0.3486
```

Its space group is P3m1 (156). The calculation puts the uncorrected formation energy at -152 meV per atom. Its relative energy among the computed polymorphs is 70 meV per atom. The calculated volume is 41 Å³/f.u.

Entry 2:
Density functional theory data (GGA-PBE) for SiOsRu2 after structural relaxation.

Cell and atoms, written as POSCAR:
```
SiOsRu2
1.0
-3.5379 1.6079 -0.4793
-0.6687 -2.0049 -1.7895
-2.1330 -3.8189 2.9331
Si Ru Os
1 2 1
Direct
0.0000 0.7062 0.4624
0.0000 0.9440 0.9871
0.5000 0.2919 0.2912
0.5000 0.5580 0.7594
```

Its space group is Amm2 (38). The calculation puts the uncorrected formation energy at -129 meV per atom. The calculated volume is 55 Å³/f.u.

Entry 3:
Density functional theory data (GGA-PBE) for SiOs2Ru after structural relaxation.

Cell and atoms, written as POSCAR:
```
SiOs2Ru
1.0
2.7481 0.0013 0.0000
-1.3168 2.4121 0.0000
0.0000 0.0000 8.5294
Si Os Ru
1 2 1
Direct
0.5000 0.5000 0.7473
0.5000 0.5000 0.2515
0.0000 0.0000 0.9777
0.0000 0.0000 0.5235
```

Its space group is Cmm2 (35). The calculation puts the uncorrected formation energy at 347 meV per atom. The calculated volume is 57 Å³/f.u.

Entry 4:
Density functional theory data (GGA-PBE) for SiOs2Ru after structural relaxation.

Cell and atoms, written as POSCAR:
```
SiOs2Ru
1.0
-0.6262 2.8144 3.3358
-4.3418 -0.7446 -0.1868
0.2874 -2.1426 1.8617
Ru Os Si
1 2 1
Direct
0.5000 0.0000 0.5000
0.5000 0.5000 0.0000
0.0000 0.0000 0.0000
0.0000 0.5000 0.5000
```

Its space group is P4/mmm (123). The calculation puts the uncorrected formation energy at 211 meV per atom. The calculated volume is 55 Å³/f.u.

Entry 5:
Density functional theory data (GGA-PBE) for Si2OsRu after structural relaxation.

Cell and atoms, written as POSCAR:
```
Si2OsRu
1.0
-2.7554 -1.3878 -0.3525
1.2112 -1.8512 -2.1791
1.3800 -3.7419 3.9457
Os Si Ru
1 2 1
Direct
0.0000 0.0000 0.4376
0.5000 0.5000 0.2547
0.0000 0.0000 0.9941
0.5000 0.5000 0.8135
```

Its space group is P4mm (99). The calculation puts the uncorrected formation energy at -371 meV per atom. The calculated volume is 54 Å³/f.u.

Entry 6:
Density functional theory data (GGA-PBE) for SiOs2Ru after structural relaxation.

Cell and atoms, written as POSCAR:
```
SiOs2Ru
1.0
-3.4927 -0.8622 3.0054
-3.3532 -2.5311 -2.0795
4.6443 -0.5564 0.3100
Os Si Ru
2 1 1
Direct
0.5000 0.5000 0.0000
0.0000 0.0000 0.0000
0.7500 0.2500 0.5000
0.2500 0.7500 0.5000
```

Its space group is I4/mmm (139). The calculation puts the uncorrected formation energy at 95 meV per atom. The calculated volume is 55 Å³/f.u.

Entry 7:
Density functional theory data (GGA-PBE) for SiOsRu2 after structural relaxation.

Cell and atoms, written as POSCAR:
```
SiOsRu2
1.0
5.3986 0.0000 0.0000
0.0000 5.3986 0.0000
2.6993 2.6993 5.4951
Si Ru Os
2 4 2
Direct
0.5000 0.5000 0.0000
0.2500 0.7500 0.5000
0.3750 0.3823 0.7500
0.1323 0.6250 0.2500
0.6177 0.1250 0.2500
0.8750 0.8677 0.7500
0.7500 0.2500 0.5000
0.0000 0.0000 0.0000
```

Its space group is I-42d (122). The calculation puts the uncorrected formation energy at 773 meV per atom. The calculated volume is 80 Å³/f.u.

Entry 8:
Density functional theory data (GGA-PBE) for SiOsRu2 after structural relaxation.

Cell and atoms, written as POSCAR:
```
SiOsRu2
1.0
3.7541 0.0000 0.0000
0.0000 3.8287 0.0000
0.0000 0.0000 3.8287
Ru Os Si
2 1 1
Direct
0.0000 0.0000 0.0000
0.0000 0.5000 0.5000
0.5000 0.0000 0.5000
0.5000 0.5000 0.0000
```

Its space group is P4/mmm (123). The calculation puts the uncorrected formation energy at 155 meV per atom. The calculated volume is 55 Å³/f.u.

Entry 9:
Density functional theory data (GGA-PBE) for Si2OsRu after structural relaxation.

Cell and atoms, written as POSCAR:
```
Si2OsRu
1.0
4.6081 0.0020 -0.0044
3.6885 2.7621 -0.0044
1.1757 0.3917 4.1312
Si Os Ru
2 1 1
Direct
0.0005 0.0005 0.9422
0.2491 0.2491 0.3067
0.5056 0.5056 0.4236
0.7448 0.7448 0.8276
```

Its space group is Cm (8). The calculation puts the uncorrected formation energy at -436 meV per atom. The calculated volume is 53 Å³/f.u.

Entry 10:
Density functional theory data (GGA-PBE) for SiOs2Ru after structural relaxation.

Cell and atoms, written as POSCAR:
```
SiOs2Ru
1.0
-0.3322 -1.0292 -5.3595
4.9536 -2.3102 0.1366
0.0394 -6.4769 -1.5476
Os Ru Si
4 2 2
Direct
0.6208 0.1250 0.2500
0.3750 0.3792 0.7500
0.8750 0.8708 0.7500
0.1292 0.6250 0.2500
0.7500 0.2500 0.5000
0.0000 0.0000 0.0000
0.2500 0.7500 0.5000
0.5000 0.5000 0.0000
```

Its space group is I-42d (122). The calculation puts the uncorrected formation energy at 958 meV per atom. The calculated volume is 81 Å³/f.u.

Entry 11:
Density functional theory data (GGA-PBE) for SiOs2Ru after structural relaxation.

Cell and atoms, written as POSCAR:
```
SiOs2Ru
1.0
-1.8394 -6.9323 4.5476
0.9140 -6.9700 4.7650
-0.5875 -5.4329 6.5007
Os Si Ru
2 1 1
Direct
0.2498 0.2498 0.2498
0.0044 0.0044 0.0044
0.7510 0.7510 0.7510
0.4949 0.4949 0.4949
```

Its space group is R3m (160). The calculation puts the uncorrected formation energy at -22 meV per atom. The calculated volume is 55 Å³/f.u.

Entry 12:
Density functional theory data (GGA-PBE) for Si2OsRu after structural relaxation.

Cell and atoms, written as POSCAR:
```
Si2OsRu
1.0
2.7550 0.0000 0.0000
0.0000 2.7550 0.0000
0.0000 0.0000 7.4418
Os Si Ru
1 2 1
Direct
0.0000 0.0000 0.5004
0.0000 0.0000 0.9758
0.5000 0.5000 0.2727
0.5000 0.5000 0.7511
```

Its space group is P4mm (99). The calculation puts the uncorrected formation energy at 73 meV per atom. The calculated volume is 56 Å³/f.u.

Copy entry 8 word for word.
Density functional theory data (GGA-PBE) for SiOsRu2 after structural relaxation.

Cell and atoms, written as POSCAR:
```
SiOsRu2
1.0
3.7541 0.0000 0.0000
0.0000 3.8287 0.0000
0.0000 0.0000 3.8287
Ru Os Si
2 1 1
Direct
0.0000 0.0000 0.0000
0.0000 0.5000 0.5000
0.5000 0.0000 0.5000
0.5000 0.5000 0.0000
```

Its space group is P4/mmm (123). The calculation puts the uncorrected formation energy at 155 meV per atom. The calculated volume is 55 Å³/f.u.

Among the records above, which one has the highest uncorrected formation energy?
number 10

Number 11 is which compound?
SiOs2Ru